Entry from Alexandria via LeMat-Bulk: a relaxed PrPd4 crystal (GGA-PBE).

Properties
- Energy relative to the elements: -0.47 eV per atom
- SG: I-43m (217)
- E_tot: -111.51 eV for the cell shown

Unit cell a=7.9987 b=7.9987 c=7.9987 alpha=109.47 beta=109.47 gamma=109.47
Closest atoms and distances in Å follow each position.
Positions (direct):
1 Pr 0.0000 0.0000 0.4436  1 Pd 2.77
2 Pr 0.0000 0.4436 0.0000  1 Pd 2.77
3 Pr 0.4436 0.0000 0.0000  1 Pd 2.77
4 Pr 0.5564 0.5564 0.5564  1 Pd 2.77
5 Pd 0.0000 0.0000 0.7900  6 Pd 2.64-2.74, 1 Pr 2.77
6 Pd 0.0000 0.3494 0.3494  7 Pd 2.64-2.78
7 Pd 0.0000 0.6506 0.6506  7 Pd 2.64-2.78
8 Pd 0.0000 0.7900 0.0000  6 Pd 2.64-2.74, 1 Pr 2.77
9 Pd 0.2100 0.2100 0.2100  6 Pd 2.64-2.74, 1 Pr 2.77
10 Pd 0.2500 0.5000 0.7500  4 Pd 2.70
11 Pd 0.2500 0.7500 0.5000  4 Pd 2.70
12 Pd 0.3494 0.0000 0.3494  7 Pd 2.64-2.78
13 Pd 0.3494 0.3494 0.0000  7 Pd 2.64-2.78
14 Pd 0.5000 0.2500 0.7500  4 Pd 2.70
15 Pd 0.5000 0.7500 0.2500  4 Pd 2.70
16 Pd 0.6506 0.0000 0.6506  7 Pd 2.64-2.78
17 Pd 0.6506 0.6506 0.0000  7 Pd 2.64-2.78
18 Pd 0.7500 0.2500 0.5000  4 Pd 2.70
19 Pd 0.7500 0.5000 0.2500  4 Pd 2.70
20 Pd 0.7900 0.0000 0.0000  6 Pd 2.64-2.74, 1 Pr 2.77